Compound: VF4
Source: the Alexandria database
Functional: GGA-PBEsol
Structure: relaxed

Results
- Raw formation energy: -2.768 eV per atom
- DFT total energy: -6.237 eV per atom

```
data_VF4
_cell_length_a 7.5290
_cell_length_b 7.5290
_cell_length_c 7.5290
_cell_angle_alpha 94.13
_cell_angle_beta 94.13
_cell_angle_gamma 94.13
_symmetry_space_group_name_H-M 'P 1'
_symmetry_Int_Tables_number 1
loop_
_symmetry_equiv_pos_as_xyz
'x,y,z'
loop_
_atom_site_label
_atom_site_type_symbol
_atom_site_fract_x
_atom_site_fract_y
_atom_site_fract_z
V1 V 0.0521 0.4278 0.3122
V2 V 0.3122 0.0521 0.4278
V3 V 0.4278 0.3122 0.0521
V4 V 0.5722 0.6878 0.9479
V5 V 0.6878 0.9479 0.5722
V6 V 0.9479 0.5722 0.6878
F1 F 0.0314 0.3924 0.7863
F2 F 0.0466 0.7509 0.8224
F3 F 0.1372 0.5839 0.5248
F4 F 0.1776 0.9534 0.2491
F5 F 0.1851 0.2584 0.4509
F6 F 0.2137 0.9686 0.6076
F7 F 0.2491 0.1776 0.9534
F8 F 0.2584 0.4509 0.1851
F9 F 0.3924 0.7863 0.0314
F10 F 0.4161 0.4752 0.8628
F11 F 0.4509 0.1851 0.2584
F12 F 0.4752 0.8628 0.4161
F13 F 0.5248 0.1372 0.5839
F14 F 0.5491 0.8149 0.7416
F15 F 0.5839 0.5248 0.1372
F16 F 0.6076 0.2137 0.9686
F17 F 0.7416 0.5491 0.8149
F18 F 0.7509 0.8224 0.0466
F19 F 0.7863 0.0314 0.3924
F20 F 0.8149 0.7416 0.5491
F21 F 0.8224 0.0466 0.7509
F22 F 0.8628 0.4161 0.4752
F23 F 0.9534 0.2491 0.1776
F24 F 0.9686 0.6076 0.2137
```

***

Compound: V2F9
Source: the Alexandria database
Functional: GGA-PBEsol
Structure: relaxed

Results
- Raw formation energy: -2.738 eV per atom
- DFT total energy: -6.066 eV per atom

```
data_V2F9
_cell_length_a 5.0330
_cell_length_b 5.0330
_cell_length_c 14.4297
_cell_angle_alpha 90.00
_cell_angle_beta 90.00
_cell_angle_gamma 120.00
_symmetry_space_group_name_H-M 'P 1'
_symmetry_Int_Tables_number 1
loop_
_symmetry_equiv_pos_as_xyz
'x,y,z'
loop_
_atom_site_label
_atom_site_type_symbol
_atom_site_fract_x
_atom_site_fract_y
_atom_site_fract_z
V1 V 0.0000 0.0000 0.1515
V2 V 0.0000 0.0000 0.3485
V3 V 0.0000 0.0000 0.6515
V4 V 0.0000 0.0000 0.8485
F1 F 0.0000 0.2688 0.2500
F2 F 0.0000 0.3018 0.5957
F3 F 0.0000 0.3018 0.9043
F4 F 0.0000 0.6982 0.0957
F5 F 0.0000 0.6982 0.4043
F6 F 0.0000 0.7312 0.7500
F7 F 0.2688 0.0000 0.2500
F8 F 0.2688 0.2688 0.7500
F9 F 0.3018 0.0000 0.5957
F10 F 0.3018 0.0000 0.9043
F11 F 0.3018 0.3018 0.0957
F12 F 0.3018 0.3018 0.4043
F13 F 0.6982 0.0000 0.0957
F14 F 0.6982 0.0000 0.4043
F15 F 0.6982 0.6982 0.5957
F16 F 0.6982 0.6982 0.9043
F17 F 0.7312 0.0000 0.7500
F18 F 0.7312 0.7312 0.2500
```

***

Compound: VF4
Source: the Alexandria database
Functional: GGA-PBEsol
Structure: relaxed

Results
- Raw formation energy: -2.752 eV per atom
- DFT total energy: -6.221 eV per atom

```
data_VF4
_cell_length_a 5.8394
_cell_length_b 7.7378
_cell_length_c 3.0146
_cell_angle_alpha 90.00
_cell_angle_beta 90.00
_cell_angle_gamma 90.00
_symmetry_space_group_name_H-M 'P 1'
_symmetry_Int_Tables_number 1
loop_
_symmetry_equiv_pos_as_xyz
'x,y,z'
loop_
_atom_site_label
_atom_site_type_symbol
_atom_site_fract_x
_atom_site_fract_y
_atom_site_fract_z
V1 V 0.0000 0.0000 0.0000
V2 V 0.5000 0.5000 0.0000
F1 F 0.0000 0.2246 0.0000
F2 F 0.0000 0.7754 0.0000
F3 F 0.2088 0.0000 0.5000
F4 F 0.2912 0.5000 0.5000
F5 F 0.5000 0.2754 0.0000
F6 F 0.5000 0.7246 0.0000
F7 F 0.7088 0.5000 0.5000
F8 F 0.7912 0.0000 0.5000
```

***

Which of these has the lowest DFT total energy?
number 1